Compound: Cu2Mo2F
Source: the Alexandria database
Functional: PBE+U
Structure: optimized geometry

Output
Total energy: -0.284 Ry per atom
Symmetry: P4/mbm, No. 127
Fermi-level density of states: 1.61 states/eV/f.u.

Structure (extended XYZ):
```
10
Lattice="7.6145 0.0000 0.0000 0.0000 7.6145 0.0000 0.0000 0.0000 2.5474" Properties=species:S:1:pos:R:3 pbc="T T T"
Mo 1.3749 5.1822 1.2737
Mo 5.1822 6.2395 1.2737
Mo 6.2395 2.4323 1.2737
Mo 2.4323 1.3749 1.2737
Cu 2.9456 6.7528 0.0000
Cu 6.7528 4.6689 0.0000
Cu 4.6689 0.8616 0.0000
Cu 0.8616 2.9456 0.0000
F 0.0000 0.0000 0.0000
F 3.8072 3.8072 0.0000
```